(1)
# LaHoGa2I2 | OQMD | GGA-PBE | optimized geometry
# Total energy: -4.1784 eV/atom
data_LaHoGa2I2
_cell_length_a 4.2763
_cell_length_b 4.2763
_cell_length_c 12.3861
_cell_angle_alpha 90.00
_cell_angle_beta 90.00
_cell_angle_gamma 120.00
_symmetry_space_group_name_H-M 'P 3 m 1'
_symmetry_Int_Tables_number 156
loop_
_symmetry_equiv_pos_as_xyz
'x,y,z'
'-y,x-y,z'
'-x+y,-x,z'
'-y,-x,z'
'-x+y,y,z'
'x,x-y,z'
loop_
_atom_site_label
_atom_site_type_symbol
_atom_site_fract_x
_atom_site_fract_y
_atom_site_fract_z
La1 La 0.0000 0.0000 0.0000
Ho1 Ho 0.0000 0.0000 0.3347
Ga1 Ga 0.3333 0.6667 0.2016
Ga2 Ga 0.6667 0.3333 0.1481
I1 I 0.3333 0.6667 0.8259
I2 I 0.6667 0.3333 0.4919

***

(2)
# HfFeHgBi | OQMD | GGA-PBE | optimized geometry
# Total energy: -5.2663 eV/atom
# Polymorph energy (0 for the lowest one): 0 meV per atom
data_HfFeHgBi
_cell_length_a 6.9145
_cell_length_b 6.9145
_cell_length_c 6.9145
_cell_angle_alpha 90.00
_cell_angle_beta 90.00
_cell_angle_gamma 90.00
_symmetry_space_group_name_H-M 'F -4 3 m'
_symmetry_Int_Tables_number 216
_symmetry_space_group_name_Hall 'F -4 2 3'
loop_
_atom_site_label
_atom_site_type_symbol
_atom_site_fract_x
_atom_site_fract_y
_atom_site_fract_z
Hf1 Hf 0.0000 0.0000 0.0000
Fe1 Fe 0.0000 0.0000 0.5000
Hg1 Hg 0.2500 0.2500 0.7500
Bi1 Bi 0.2500 0.2500 0.2500

***

(3)
# Co12Ni17 | OQMD | GGA-PBE | optimized geometry
# Total energy: -6.1130 eV/atom
# Formation energy from the elements: 0.09 eV per atom
# Polymorph energy (0 for the lowest one): 42 meV per atom
data_Co12Ni17
_cell_length_a 8.5764
_cell_length_b 8.5764
_cell_length_c 8.5764
_cell_angle_alpha 90.00
_cell_angle_beta 90.00
_cell_angle_gamma 90.00
_symmetry_space_group_name_H-M 'I -4 3 m'
_symmetry_Int_Tables_number 217
_symmetry_space_group_name_Hall 'I -4 2 3'
loop_
_atom_site_label
_atom_site_type_symbol
_atom_site_fract_x
_atom_site_fract_y
_atom_site_fract_z
Co1 Co 0.0443 0.3620 0.6380
Ni1 Ni 0.0000 0.0000 0.0000
Ni2 Ni 0.0925 0.0925 0.7167
Ni3 Ni 0.1826 0.1826 0.1826

***

(4)
# PmLuNb | OQMD | GGA-PBE | optimized geometry
# Total energy: -5.6446 eV/atom
# Formation energy from the elements: 0.81 eV per atom
# Polymorph energy (0 for the lowest one): 0 meV per atom
data_PmLuNb
_cell_length_a 7.1740
_cell_length_b 7.1740
_cell_length_c 7.1740
_cell_angle_alpha 90.00
_cell_angle_beta 90.00
_cell_angle_gamma 90.00
_symmetry_space_group_name_H-M 'F -4 3 m'
_symmetry_Int_Tables_number 216
_symmetry_space_group_name_Hall 'F -4 2 3'
loop_
_atom_site_label
_atom_site_type_symbol
_atom_site_fract_x
_atom_site_fract_y
_atom_site_fract_z
Pm1 Pm 0.0000 0.0000 0.0000
Lu1 Lu 0.0000 0.0000 0.5000
Nb1 Nb 0.2500 0.2500 0.7500

***

(5)
# ErInCoTe3 | OQMD | GGA-PBE | optimized geometry
# Total energy: -4.5236 eV/atom
data_ErInCoTe3
_cell_length_a 4.0899
_cell_length_b 15.4274
_cell_length_c 10.9879
_cell_angle_alpha 90.00
_cell_angle_beta 90.00
_cell_angle_gamma 90.00
_symmetry_space_group_name_H-M 'C m c m'
_symmetry_Int_Tables_number 63
_symmetry_space_group_name_Hall '-C 2c 2'
loop_
_atom_site_label
_atom_site_type_symbol
_atom_site_fract_x
_atom_site_fract_y
_atom_site_fract_z
Er1 Er 0.0000 0.0000 0.0000
In1 In 0.0000 0.2452 0.2500
Co1 Co 0.0000 0.4761 0.7500
Te1 Te 0.0000 0.0794 0.7500
Te2 Te 0.0000 0.3652 0.5742

***

(6)
# TaCdCuPd | OQMD | GGA-PBE | optimized geometry
# Total energy: -5.2665 eV/atom
# Formation energy from the elements: 0.14 eV per atom
# Polymorph energy (0 for the lowest one): 161 meV per atom
data_TaCdCuPd
_cell_length_a 6.3823
_cell_length_b 6.3823
_cell_length_c 6.3823
_cell_angle_alpha 90.00
_cell_angle_beta 90.00
_cell_angle_gamma 90.00
_symmetry_space_group_name_H-M 'F -4 3 m'
_symmetry_Int_Tables_number 216
_symmetry_space_group_name_Hall 'F -4 2 3'
loop_
_atom_site_label
_atom_site_type_symbol
_atom_site_fract_x
_atom_site_fract_y
_atom_site_fract_z
Ta1 Ta 0.0000 0.0000 0.0000
Cd1 Cd 0.2500 0.2500 0.2500
Cu1 Cu 0.0000 0.0000 0.5000
Pd1 Pd 0.2500 0.2500 0.7500

***

(7)
# BaTmGaTe3 | OQMD | GGA-PBE | optimized geometry
# Total energy: -4.1856 eV/atom
data_BaTmGaTe3
_cell_length_a 4.5632
_cell_length_b 15.0086
_cell_length_c 11.7831
_cell_angle_alpha 90.00
_cell_angle_beta 90.00
_cell_angle_gamma 90.00
_symmetry_space_group_name_H-M 'C m c m'
_symmetry_Int_Tables_number 63
_symmetry_space_group_name_Hall '-C 2c 2'
loop_
_atom_site_label
_atom_site_type_symbol
_atom_site_fract_x
_atom_site_fract_y
_atom_site_fract_z
Ba1 Ba 0.0000 0.2371 0.2500
Tm1 Tm 0.0000 0.0000 0.0000
Ga1 Ga 0.0000 0.4645 0.7500
Te1 Te 0.0000 0.0834 0.7500
Te2 Te 0.0000 0.3600 0.5311

***

(8)
# ErAgSnSe3 | OQMD | GGA-PBE | optimized geometry
# Total energy: -4.5285 eV/atom
# Polymorph energy (0 for the lowest one): 0 meV per atom
data_ErAgSnSe3
_cell_length_a 4.0848
_cell_length_b 13.6226
_cell_length_c 10.5893
_cell_angle_alpha 90.00
_cell_angle_beta 90.00
_cell_angle_gamma 90.00
_symmetry_space_group_name_H-M 'C m c m'
_symmetry_Int_Tables_number 63
_symmetry_space_group_name_Hall '-C 2c 2'
loop_
_atom_site_label
_atom_site_type_symbol
_atom_site_fract_x
_atom_site_fract_y
_atom_site_fract_z
Er1 Er 0.0000 0.0000 0.0000
Ag1 Ag 0.0000 0.4680 0.2500
Sn1 Sn 0.0000 0.2399 0.7500
Se1 Se 0.0000 0.0945 0.2500
Se2 Se 0.0000 0.3555 0.0508

***

(9)
# Co3AgN5 | OQMD | GGA-PBE | optimized geometry
# Total energy: -6.6640 eV/atom
data_Co3AgN5
_cell_length_a 5.0503
_cell_length_b 5.0503
_cell_length_c 3.8805
_cell_angle_alpha 90.00
_cell_angle_beta 90.00
_cell_angle_gamma 120.00
_symmetry_space_group_name_H-M 'P 6/m m m'
_symmetry_Int_Tables_number 191
_symmetry_space_group_name_Hall '-P 6 2'
loop_
_atom_site_label
_atom_site_type_symbol
_atom_site_fract_x
_atom_site_fract_y
_atom_site_fract_z
Co1 Co 0.0000 0.5000 0.0000
Ag1 Ag 0.0000 0.0000 0.5000
N1 N 0.0000 0.0000 0.0000
N2 N 0.3333 0.6667 0.3348

***

(10)
# Ta3Al2 | OQMD | GGA-PBE | optimized geometry
# Total energy: -8.5802 eV/atom
data_Ta3Al2
_cell_length_a 10.1297
_cell_length_b 10.1297
_cell_length_c 5.1983
_cell_angle_alpha 90.00
_cell_angle_beta 90.00
_cell_angle_gamma 90.00
_symmetry_space_group_name_H-M 'P 42/m n m'
_symmetry_Int_Tables_number 136
_symmetry_space_group_name_Hall '-P 4n 2n'
loop_
_atom_site_label
_atom_site_type_symbol
_atom_site_fract_x
_atom_site_fract_y
_atom_site_fract_z
Ta1 Ta 0.0000 0.0000 0.0000
Ta2 Ta 0.0365 0.3692 0.5000
Ta3 Ta 0.0654 0.2632 0.0000
Al1 Al 0.0987 0.0987 0.5000
Al2 Al 0.1850 0.8150 0.2465

***

(11)
# TlAgOsSeS2 | OQMD | GGA-PBE | optimized geometry
# Total energy: -4.7369 eV/atom
data_TlAgOsSeS2
_cell_length_a 3.6210
_cell_length_b 15.7356
_cell_length_c 9.6803
_cell_angle_alpha 90.00
_cell_angle_beta 90.00
_cell_angle_gamma 90.00
_symmetry_space_group_name_H-M 'C m c m'
_symmetry_Int_Tables_number 63
_symmetry_space_group_name_Hall '-C 2c 2'
loop_
_atom_site_label
_atom_site_type_symbol
_atom_site_fract_x
_atom_site_fract_y
_atom_site_fract_z
Tl1 Tl 0.0000 0.1884 0.2500
Ag1 Ag 0.0000 0.1619 0.7500
Os1 Os 0.0000 0.5000 0.0000
Se1 Se 0.0000 0.4576 0.7500
S1 S 0.0000 0.0973 0.5235